VASP calculation (PBE-GGA) on a relaxed structure of SbRhBr2.

```
4
Lattice="3.857 0.000 0.000 0.000 3.694 0.096 0.000 1.414 7.682" Properties=species:S:1:pos:R:3 pbc="T T T"
Br 1.928 1.865 2.620
Br 0.000 1.752 7.039
Sb 1.928 3.644 5.249
Rh 0.000 1.816 4.440
```

Values from the calculation:
Its energy above the most stable polymorph in this dataset is 1.05 eV per formula unit. The volume is 108.9 Å³/cell.


VASP calculation (PBE-GGA) on a relaxed structure of RbZrBeO4.

```
14
Lattice="-2.371 -3.062 -3.528 4.595 -3.064 -0.429 -1.198 -2.772 6.964" Properties=species:S:1:pos:R:3 pbc="T T T"
O 2.095 -4.324 -0.328
O -0.651 -3.623 1.017
O -2.955 -4.841 1.226
O 3.982 -4.056 1.781
O -0.875 -6.228 1.032
O 1.902 -2.669 1.975
O -1.068 -4.573 3.335
O 1.678 -5.274 1.990
Be 2.431 -4.038 1.228
Be -1.404 -4.859 1.779
Zr 0.043 -2.854 2.955
Zr 0.984 -6.043 0.052
Rb 0.604 -7.123 3.690
Rb 0.423 -1.774 -0.683
```

Values from the calculation:
The volume is 207.7 Å³/cell.


no.,formation energy from raw total energies (eV per atom),E_tot (eV/atom)
1,-0.1790,-3.88
2,-2.3789,-7.10